{"formula": "PaReSn", "functional": "PBE", "state": "relaxed", "energy_ev_per_atom": -8.525, "cell": [[0.000, 3.309, 3.309], [3.309, 0.000, 3.309], [3.309, 3.309, 0.000]], "species": ["Pa", "Re", "Sn"], "frac_coords": [[0.000, 0.000, 0.000], [0.750, 0.750, 0.750], [0.500, 0.500, 0.500]]}

***

{"formula": "PaTaRe", "functional": "PBE", "state": "relaxed", "e_form_ev_per_atom": 1.04, "cell": [[0.000, 3.178, 3.178], [3.178, 0.000, 3.178], [3.178, 3.178, 0.000]], "species": ["Pa", "Ta", "Re"], "frac_coords": [[0.000, 0.000, 0.000], [0.250, 0.250, 0.250], [0.750, 0.750, 0.750]]}

***

{"formula": "PaTaRe", "functional": "PBE", "state": "relaxed", "e_form_ev_per_atom": 0.37, "cell": [[0.000, 3.233, 3.233], [3.233, 0.000, 3.233], [3.233, 3.233, 0.000]], "species": ["Pa", "Ta", "Re"], "frac_coords": [[0.000, 0.000, 0.000], [0.500, 0.500, 0.500], [0.750, 0.750, 0.750]]}

***

Quick rundown of mass density, same order as above: 12.3 15.5 14.7 Mg/m³